A plane-wave DFT calculation with PBE-GGA was carried out for crystalline Na2Sn2S5 at its relaxed geometry.

Calculated values
Volume = 24.21 Å³/atom
Formation energy without anion corrections = -589.5 meV per atom
Theoretical density = 3.4 g cm⁻³

Cell lengths 17.238, 7.244, 6.979 Å; angles 90.00, 90.00, 90.00 degrees
Space group Ima2 (No. 46)
One atom of each set of equivalent atoms:
Na 0.098 0.029 0.000 (multiplicity 8)
Sn 0.000 0.000 0.519 (multiplicity 4)
Sn 0.250 0.584 0.977 (multiplicity 4)
S 0.037 0.738 0.774 (multiplicity 8)
S 0.143 0.102 0.590 (multiplicity 8)
S 0.250 0.601 0.616 (multiplicity 4)

---

A plane-wave DFT calculation with PBE-GGA was carried out for crystalline NaSnS2 at its relaxed geometry.

Calculated values
Volume = 24.69 Å³/atom
Formation energy without anion corrections = -643.4 meV per atom
Theoretical density = 3.5 g cm⁻³

Cell lengths 3.602, 7.144, 8.190 Å; angles 80.01, 77.35, 75.48 degrees
Space group P1 (No. 1)
One atom of each set of equivalent atoms:
Na 0.000 0.000 0.000 (multiplicity 1)
Na 0.236 0.019 0.504 (multiplicity 1)
Sn 0.154 0.502 0.187 (multiplicity 1)
Sn 0.314 0.546 0.821 (multiplicity 1)
S 0.499 0.741 0.258 (multiplicity 1)
S 0.711 0.818 0.756 (multiplicity 1)
S 0.746 0.241 0.263 (multiplicity 1)
S 0.969 0.323 0.732 (multiplicity 1)

---

A plane-wave DFT calculation with PBE-GGA was carried out for crystalline Na5SnS4 at its relaxed geometry.

Calculated values
Volume = 22.69 Å³/atom
Formation energy without anion corrections = -796.6 meV per atom
Theoretical density = 2.6 g cm⁻³

Cell lengths 4.146, 8.966, 12.210 Å; angles 90.00, 90.00, 90.00 degrees
Space group Immm (No. 71)
One atom of each set of equivalent atoms:
Na 0.000 0.000 0.000 (multiplicity 2)
Na 0.000 0.293 0.159 (multiplicity 8)
Sn 0.000 0.000 0.500 (multiplicity 2)
S 0.000 0.000 0.284 (multiplicity 4)
S 0.000 0.284 0.500 (multiplicity 4)

---

A plane-wave DFT calculation with PBE-GGA was carried out for crystalline NaSnS2 at its relaxed geometry.

Calculated values
Volume = 28.04 Å³/atom
Formation energy without anion corrections = -470.8 meV per atom
Theoretical density = 3.0 g cm⁻³

Cell lengths 3.9908, 3.9908, 24.3992 Å; angles 90.00, 90.00, 120.00 degrees
Space group R-3m (No. 166, hexagonal axes)
One atom of each set of equivalent atoms:
Na 0.0000 0.0000 0.0000 (multiplicity 3)
Sn 0.0000 0.0000 0.5000 (multiplicity 3)
S 0.0000 0.0000 0.1064 (multiplicity 6)

---

Question: What is the formation energy without anion corrections in the first record?
Answer: -589.5 meV per atom

---

Copy entry 4 word for word.
A plane-wave DFT calculation with PBE-GGA was carried out for crystalline NaSnS2 at its relaxed geometry.

Calculated values
Volume = 28.04 Å³/atom
Formation energy without anion corrections = -470.8 meV per atom
Theoretical density = 3.0 g cm⁻³

Cell lengths 3.9908, 3.9908, 24.3992 Å; angles 90.00, 90.00, 120.00 degrees
Space group R-3m (No. 166, hexagonal axes)
One atom of each set of equivalent atoms:
Na 0.0000 0.0000 0.0000 (multiplicity 3)
Sn 0.0000 0.0000 0.5000 (multiplicity 3)
S 0.0000 0.0000 0.1064 (multiplicity 6)